A plane-wave DFT calculation with PBE was carried out for CaCuMoCl2 after structural relaxation.

Unit cell a=5.0171 b=5.0171 c=7.9204 alpha=90.00 beta=90.00 gamma=90.00
With the nearest neighbours (Å) after each atom.
Space group P4/mmm (No. 123)
Inequivalent atoms, fractional coordinates:
1 Ca 0.0000 0.0000 0.0000 x1  4 Cl 2.51
2 Cu 0.5000 0.5000 0.5000 x1  4 Mo 3.55
3 Mo 0.0000 0.0000 0.5000 x1  4 Cu 3.55, 2 Ca 3.96
4 Cl 0.0000 0.5000 0.0000 x2  2 Ca 2.51

Summary:
Formation energy without anion corrections = 330 meV per atom
Total magnetization = 5.0 μB per cell
Volume = 39.874 A^3/atom

A plane-wave DFT calculation with PBE was carried out for CsPa2F8 after structural relaxation.

Unit cell a=7.3521 b=11.6449 c=4.6018 alpha=90.00 beta=96.10 gamma=90.00
With the nearest neighbours (Å) after each atom.
Space group C2/m (No. 12)
Inequivalent atoms, fractional coordinates:
1 Cs 0.0000 0.0000 0.0000 x2  12 F 3.12-3.26
2 Pa 0.0000 0.3270 0.5000 x4  8 F 2.34-2.48
3 F 0.0000 0.2798 0.0000 x4  2 Pa 2.37
4 F 0.0888 0.5000 0.7521 x4  2 Pa 2.38, 1 F 2.54
5 F 0.1880 0.1497 0.5422 x8  2 Pa 2.34-2.48, 1 F 2.55

Summary:
Formation energy without anion corrections = -3556 meV per atom
Total magnetization = 6.0 μB per cell
Volume = 17.806 A^3/atom

A plane-wave DFT calculation with PBE was carried out for MnZn3Rh4 after structural relaxation.

Unit cell a=3.0504 b=4.2558 c=8.4934 alpha=90.00 beta=90.00 gamma=90.00
With the nearest neighbours (Å) after each atom.
Space group Pmmm (No. 47)
Inequivalent atoms, fractional coordinates:
1 Mn 0.0000 0.0000 0.0000 x1  8 Rh 2.57-2.62
2 Zn 0.0000 0.0000 0.5000 x1  8 Rh 2.62-2.66
3 Zn 0.0000 0.5000 0.2506 x2  8 Rh 2.61-2.62
4 Rh 0.5000 0.0000 0.2440 x2  2 Mn 2.57, 6 Zn 2.62-2.66
5 Rh 0.5000 0.5000 0.0000 x1  4 Mn 2.62, 4 Zn 2.62
6 Rh 0.5000 0.5000 0.5000 x1  8 Zn 2.61-2.62

Summary:
Energy relative to the elements = -2.83 eV per formula unit
Total magnetization = 3.6 μB per cell
Volume = 13.783 A^3/atom

A plane-wave DFT calculation with PBE was carried out for NbTc2Rh after structural relaxation.

Unit cell a=6.2865 b=6.2865 c=6.2865 alpha=90.00 beta=90.00 gamma=90.00
With the nearest neighbours (Å) after each atom.
Space group Fm-3m (No. 225)
Inequivalent atoms, fractional coordinates:
1 Nb 0.0000 0.0000 0.0000 x4  8 Tc 2.72
2 Tc 0.2500 0.2500 0.2500 x8  4 Nb 2.72, 4 Rh 2.72
3 Rh 0.0000 0.0000 0.5000 x4  8 Tc 2.72

Summary:
Energy relative to the elements = 0.47 eV per formula unit
Total magnetization = 5.5 μB per cell
Volume = 15.527 A^3/atom

A plane-wave DFT calculation with PBE was carried out for Th3Si3Ir2 after structural relaxation.

Unit cell a=4.2025 b=10.9141 c=15.2555 alpha=90.00 beta=90.00 gamma=90.00
With the nearest neighbours (Å) after each atom.
Space group Cmcm (No. 63)
Inequivalent atoms, fractional coordinates:
1 Th 0.0000 0.0768 0.2500 x4  4 Ir 3.01, 5 Si 3.03-3.16
2 Th 0.0000 0.3583 0.0928 x8  7 Si 3.11-3.27, 4 Ir 3.14-3.22
3 Si 0.0000 0.0791 0.0517 x8  1 Si 2.34, 2 Ir 2.45
4 Si 0.0000 0.2075 0.7500 x4  2 Ir 2.56
5 Ir 0.0000 0.3530 0.6182 x8  3 Si 2.45-2.56

Summary:
Formation energy without anion corrections = -961 meV per atom
Total magnetization = 0.0 μB per cell
Volume = 21.866 A^3/atom

A plane-wave DFT calculation with PBE was carried out for In2SnS after structural relaxation.

Unit cell a=3.6869 b=3.6869 c=26.5539 alpha=90.00 beta=90.00 gamma=120.00
With the nearest neighbours (Å) after each atom.
Space group R3m (No. 160, hexagonal axes)
Inequivalent atoms, fractional coordinates:
1 In 0.0000 0.0000 0.0000 x3  3 S 2.94
2 In 0.0000 0.0000 0.1950 x3  3 S 2.69
3 Sn 0.0000 0.0000 0.7695 x3  6 In 3.24-3.46
4 S 0.0000 0.0000 0.5904 x3  6 In 2.69-2.94

Summary:
Formation energy without anion corrections = -136 meV per atom
Total magnetization = 0.0 μB per cell
Volume = 26.050 A^3/atom

A plane-wave DFT calculation with PBE was carried out for Hf2Zn2Au after structural relaxation.

Unit cell a=6.7077 b=6.7077 c=3.9831 alpha=90.00 beta=90.00 gamma=90.00
With the nearest neighbours (Å) after each atom.
Space group P4/mbm (No. 127)
Inequivalent atoms, fractional coordinates:
1 Hf 0.1695 0.3305 0.0000 x4  6 Zn 2.76-2.84
2 Zn 0.1299 0.6299 0.5000 x4  1 Zn 2.46, 2 Au 2.63, 2 Hf 2.76
3 Au 0.0000 0.0000 0.5000 x2  4 Zn 2.63

Summary:
Energy relative to the elements = -1.59 eV per formula unit
Total magnetization = 0.0 μB per cell
Volume = 17.921 A^3/atom

A plane-wave DFT calculation with PBE was carried out for Eu2ZnSi after structural relaxation.

Unit cell a=5.2223 b=5.2223 c=3.7233 alpha=90.00 beta=90.00 gamma=90.00
With the nearest neighbours (Å) after each atom.
Space group P4/mmm (No. 123)
Inequivalent atoms, fractional coordinates:
1 Eu 0.0000 0.5000 0.0000 x2  4 Si 3.21, 4 Zn 3.21
2 Zn 0.0000 0.0000 0.5000 x1  8 Eu 3.21
3 Si 0.5000 0.5000 0.5000 x1  8 Eu 3.21

Summary:
Formation energy without anion corrections = -329 meV per atom
Total magnetization = 14.0 μB per cell
Volume = 25.386 A^3/atom

A plane-wave DFT calculation with PBE was carried out for Be2HSe after structural relaxation.

Unit cell a=3.7164 b=5.7098 c=5.8066 alpha=106.28 beta=90.66 gamma=107.85
With the nearest neighbours (Å) after each atom.
Space group P1 (No. 1)
Inequivalent atoms, fractional coordinates:
1 Be 0.0000 0.0000 0.0000 x1  2 H 1.43-1.45
2 Be 0.0635 0.9910 0.5763 x1  1 H 1.43
3 Be 0.5653 0.8916 0.2243 x1  2 Be 2.05-2.14, 3 Se 2.19-2.28
4 Be 0.6493 0.2453 0.1760 x1  1 H 1.44
5 H 0.0017 0.8574 0.7547 x1  2 Be 1.43
6 H 0.2742 0.2506 0.1168 x1  2 Be 1.44-1.45
7 Se 0.6702 0.2249 0.5701 x1  4 Be 2.25-2.33
8 Se 0.9586 0.6699 0.2076 x1  4 Be 2.19-2.33

Summary:
Total magnetization = 0.0 μB per cell
Volume = 13.992 A^3/atom

A plane-wave DFT calculation with PBE was carried out for SrZrSi2 after structural relaxation.

Unit cell a=7.0517 b=7.0517 c=7.0517 alpha=90.00 beta=90.00 gamma=90.00
With the nearest neighbours (Å) after each atom.
Space group Fm-3m (No. 225)
Inequivalent atoms, fractional coordinates:
1 Sr 0.0000 0.0000 0.0000 x4  8 Si 3.05
2 Zr 0.0000 0.0000 0.5000 x4  8 Si 3.05
3 Si 0.2500 0.2500 0.2500 x8  4 Zr 3.05, 4 Sr 3.05

Summary:
Formation energy without anion corrections = 5 meV per atom
Total magnetization = 0.0 μB per cell
Volume = 21.916 A^3/atom

A plane-wave DFT calculation with PBE was carried out for KLiTiP2 after structural relaxation.

Unit cell a=4.7985 b=4.7985 c=5.5242 alpha=90.00 beta=90.00 gamma=90.00
With the nearest neighbours (Å) after each atom.
Space group P4/mmm (No. 123)
Inequivalent atoms, fractional coordinates:
1 K 0.0000 0.0000 0.0000 x1  2 Ti 2.76
2 Li 0.5000 0.5000 0.0000 x1  4 K 3.39, 8 P 3.66
3 Ti 0.0000 0.0000 0.5000 x1  4 P 2.40
4 P 0.0000 0.5000 0.5000 x2  2 Ti 2.40

Summary:
Energy relative to the elements = 0.80 eV per formula unit
Total magnetization = 0.9 μB per cell
Volume = 25.440 A^3/atom

A plane-wave DFT calculation with PBE was carried out for TbCu3O4 after structural relaxation.

Unit cell a=5.6505 b=5.6505 c=5.6505 alpha=90.00 beta=90.00 gamma=90.00
With the nearest neighbours (Å) after each atom.
Space group Pm-3n (No. 223)
Inequivalent atoms, fractional coordinates:
1 Tb 0.0000 0.0000 0.0000 x2  8 O 2.45
2 Cu 0.0000 0.2500 0.5000 x6  4 O 2.00
3 O 0.2500 0.2500 0.2500 x8  3 Cu 2.00

Summary:
Formation energy without anion corrections = -1442 meV per atom
Total magnetization = 0.0 μB per cell
Volume = 11.275 A^3/atom

| no. | energy (eV per cell) |
| --- | --- |
| 1 | -18.97 |
| 2 | -147.86 |
| 3 | -45.23 |
| 4 | -150.74 |
| 5 | -255.74 |
| 6 | -42.45 |
| 7 | -54.65 |
| 8 | -28.56 |
| 9 | -30.17 |
| 10 | -84.22 |
| 11 | -20.93 |
| 12 | -96.57 |